Below is a geometry-optimized ScTlNiHg structure, with properties calculated at the PBE-GGA level.

For the distance to the lowest polymorph of the same formula, the calculation gives 0.00 eV per formula unit. The calculation puts the volume at 18.955 Å³/atom.

a = 6.7187 Å, b = 6.7187 Å, c = 6.7187 Å
α = 90.00°, β = 90.00°, γ = 90.00°
Space group F-43m (No. 216)
Symmetry-distinct sites (fractional):
Sc  0.0000  0.0000  0.0000
Tl  0.2500  0.2500  0.2500
Ni  0.0000  0.0000  0.5000
Hg  0.2500  0.2500  0.7500